{"formula": "DyZrPd2", "functional": "PBE", "state": "optimized geometry", "spacegroup": "R-3m", "n_ef_per_ev_fu": 2.0, "energy_ev_per_atom": -6.423, "cell": [[3.980, 0.000, 0.000], [1.990, 3.447, 0.000], [1.990, 1.149, 6.529]], "species": ["Zr", "Pd", "Pd", "Dy"], "frac_coords": [[0.000, 0.000, 0.000], [0.257, 0.257, 0.228], [0.743, 0.743, 0.772], [0.500, 0.500, 0.500]]}